(1)
VASP calculation (GGA-PBE) on crystalline NaSmMgS3 at its relaxed geometry.

The structure belongs to space group Cmcm (No. 63); the cell edges are 4.067, 13.118 and 11.101 Å and the angles 90.00°, 90.00° and 90.00°. The inequivalent atoms are Na at (0.000, 0.249, 0.250), Sm at (0.000, 0.500, 0.000), Mg at (0.000, 0.029, 0.750), S at (0.000, 0.132, 0.573) and S at (0.000, 0.422, 0.750).

The energy above the most stable polymorph in this dataset is 45 meV/atom.

=====

(2)
VASP calculation (GGA-PBE) on crystalline NaMgTaS3 at its relaxed geometry.

The structure belongs to space group Cmcm (No. 63); the cell edges are 3.619, 13.457 and 9.860 Å and the angles 90.00°, 90.00° and 90.00°. The inequivalent atoms are Na at (0.000, 0.240, 0.250), Mg at (0.000, 0.040, 0.750), Ta at (0.000, 0.500, 0.000), S at (0.000, 0.130, 0.544) and S at (0.000, 0.425, 0.750).

For the uncorrected energy, the calculation gives -5.4177 eV per atom.

=====

no.,calculated volume (Å³ per atom),total magnetization (μB per formula unit)
1,24.7,0.00
2,20.0,1.41